Record 1
Entry from Alexandria via LeMat-Bulk: crystalline RbAs2RuBr at its relaxed geometry (PBEsol).

Cell and atoms, written as POSCAR:
```
RbAs2RuBr
1.0
4.697 0.000 0.000
0.000 4.697 0.000
0.000 0.000 5.789
Rb As Ru Br
1 2 1 1
direct
0.000 0.000 0.000
0.000 0.500 0.500
0.500 0.000 0.500
0.500 0.500 0.500
0.500 0.500 0.000
```

Calculated values
Density of states at the Fermi level   3.90 states/eV per cell
Electronic total energy   -4.8018 eV/atom
ΔE_f (raw)   -0.146 eV per atom

---

Record 2
Entry from Alexandria via LeMat-Bulk: crystalline ReSbIr at its relaxed geometry (PBEsol).

Cell and atoms, written as POSCAR:
```
ReSbIr
1.0
6.080 0.000 0.000
0.000 6.080 0.000
0.000 0.000 6.080
Re Sb Ir
4 4 4
direct
0.000 0.000 0.000
0.000 0.500 0.500
0.500 0.000 0.500
0.500 0.500 0.000
0.000 0.000 0.500
0.000 0.500 0.000
0.500 0.000 0.000
0.500 0.500 0.500
0.250 0.250 0.750
0.250 0.750 0.250
0.750 0.250 0.250
0.750 0.750 0.750
```

Calculated values
Density of states at the Fermi level   18.24 states/eV per cell
Electronic total energy   -8.6469 eV/atom
ΔE_f (raw)   0.591 eV per atom

---

Record 3
Entry from Alexandria via LeMat-Bulk: crystalline CrIrAu at its relaxed geometry (PBEsol).

Cell and atoms, written as POSCAR:
```
CrIrAu
1.0
2.755 0.000 0.000
0.000 3.645 0.000
0.000 0.000 8.495
Cr Ir Au
2 2 2
direct
0.000 0.000 0.000
0.500 0.500 0.500
0.000 0.000 0.634
0.500 0.500 0.134
0.000 0.000 0.320
0.500 0.500 0.820
```

Calculated values
Density of states at the Fermi level   4.61 states/eV per cell
Electronic total energy   -7.8648 eV/atom

---

Record 4
Entry from Alexandria via LeMat-Bulk: crystalline Y2CrIr at its relaxed geometry (PBEsol).

Cell and atoms, written as POSCAR:
```
Y2CrIr
1.0
3.961 0.000 0.000
-1.980 3.430 0.000
0.000 0.000 21.520
Y Cr Ir
6 3 3
direct
0.000 0.000 0.000
0.000 0.000 0.186
0.333 0.667 0.667
0.333 0.667 0.853
0.667 0.333 0.333
0.667 0.333 0.520
0.000 0.000 0.434
0.333 0.667 0.101
0.667 0.333 0.767
0.000 0.000 0.752
0.333 0.667 0.419
0.667 0.333 0.085
```

Calculated values
Density of states at the Fermi level   15.02 states/eV per cell
Electronic total energy   -8.5504 eV/atom

---

Record 5
Entry from Alexandria via LeMat-Bulk: crystalline LiMnAs2Se at its relaxed geometry (PBEsol).

Cell and atoms, written as POSCAR:
```
LiMnAs2Se
1.0
4.489 0.000 0.000
0.000 4.489 0.000
0.000 0.000 5.165
Li Mn As Se
1 1 2 1
direct
0.000 0.000 0.000
0.500 0.500 0.500
0.000 0.500 0.500
0.500 0.000 0.500
0.500 0.500 0.000
```

Calculated values
Density of states at the Fermi level   2.06 states/eV per cell
Electronic total energy   -5.1087 eV/atom
Relative energy among the computed polymorphs   0.000 eV/atom
ΔE_f (raw)   0.049 eV per atom

---

Record 6
Entry from Alexandria via LeMat-Bulk: crystalline BeCr2Fe at its relaxed geometry (PBEsol).

Cell and atoms, written as POSCAR:
```
BeCr2Fe
1.0
2.445 0.000 0.000
0.000 2.445 0.000
0.000 0.000 6.708
Be Cr Fe
1 2 1
direct
0.000 0.000 0.000
0.500 0.500 0.244
0.500 0.500 0.756
0.000 0.000 0.500
```

Calculated values
Density of states at the Fermi level   3.83 states/eV per cell
Electronic total energy   -8.2652 eV/atom

---

Record 7
Entry from Alexandria via LeMat-Bulk: crystalline LaSc2Fe at its relaxed geometry (PBEsol).

Cell and atoms, written as POSCAR:
```
LaSc2Fe
1.0
4.438 0.000 0.000
0.000 4.450 0.000
0.000 0.000 8.673
La Sc Fe
2 4 2
direct
0.000 0.000 0.000
0.500 0.500 0.000
0.000 0.500 0.332
0.000 0.500 0.668
0.500 0.000 0.332
0.500 0.000 0.668
0.000 0.000 0.500
0.500 0.500 0.500
```

Calculated values
Density of states at the Fermi level   6.79 states/eV per cell
Electronic total energy   -6.9206 eV/atom
Relative energy among the computed polymorphs   0.000 eV/atom

---

Record 8
Entry from Alexandria via LeMat-Bulk: crystalline Mg2InSb at its relaxed geometry (PBEsol).

Cell and atoms, written as POSCAR:
```
Mg2InSb
1.0
3.336 0.000 0.000
0.000 3.336 0.000
0.000 0.000 8.347
Mg In Sb
2 1 1
direct
0.000 0.000 0.249
0.000 0.000 0.751
0.500 0.500 0.000
0.500 0.500 0.500
```

Calculated values
Density of states at the Fermi level   1.73 states/eV per cell
Electronic total energy   -2.8805 eV/atom
Relative energy among the computed polymorphs   0.034 eV/atom
ΔE_f (raw)   -0.137 eV per atom

---

Record 9
Entry from Alexandria via LeMat-Bulk: crystalline LuInCo4 at its relaxed geometry (PBEsol).

Cell and atoms, written as POSCAR:
```
LuInCo4
1.0
0.000 3.438 3.438
3.438 0.000 3.438
3.438 3.438 0.000
Lu In Co
1 1 4
direct
0.000 0.000 0.000
0.250 0.250 0.250
0.126 0.625 0.625
0.625 0.126 0.625
0.625 0.625 0.126
0.625 0.625 0.625
```

Calculated values
Density of states at the Fermi level   9.23 states/eV per cell
Electronic total energy   -6.6677 eV/atom

---

Record 10
Entry from Alexandria via LeMat-Bulk: crystalline Ba3ErMn2O9 at its relaxed geometry (PBEsol).

Cell and atoms, written as POSCAR:
```
Ba3ErMn2O9
1.0
5.756 0.000 0.000
-2.878 4.985 0.000
0.000 0.000 14.111
Ba Er Mn O
6 2 4 18
direct
0.000 0.000 0.250
0.000 0.000 0.750
0.333 0.667 0.097
0.333 0.667 0.403
0.667 0.333 0.597
0.667 0.333 0.903
0.000 0.000 0.000
0.000 0.000 0.500
0.333 0.667 0.658
0.333 0.667 0.842
0.667 0.333 0.158
0.667 0.333 0.342
0.044 0.522 0.750
0.178 0.357 0.589
0.178 0.357 0.911
0.178 0.822 0.589
0.178 0.822 0.911
0.357 0.178 0.089
0.357 0.178 0.411
0.478 0.522 0.750
0.478 0.956 0.750
0.522 0.044 0.250
0.522 0.478 0.250
0.643 0.822 0.589
0.643 0.822 0.911
0.822 0.178 0.089
0.822 0.178 0.411
0.822 0.643 0.089
0.822 0.643 0.411
0.956 0.478 0.250
```

Calculated values
Density of states at the Fermi level   15.96 states/eV per cell
Electronic total energy   -7.7588 eV/atom
ΔE_f (raw)   -2.549 eV per atom

---

Record 11
Entry from Alexandria via LeMat-Bulk: crystalline InGaCoNi2 at its relaxed geometry (PBEsol).

Cell and atoms, written as POSCAR:
```
InGaCoNi2
1.0
4.572 0.000 0.000
0.000 4.572 0.000
0.000 0.000 4.790
In Ga Co Ni
1 1 1 2
direct
0.000 0.000 0.000
0.000 0.000 0.500
0.500 0.500 0.500
0.000 0.500 0.000
0.500 0.000 0.000
```

Calculated values
Density of states at the Fermi level   8.65 states/eV per cell
Electronic total energy   -3.6755 eV/atom

---

Record 12
Entry from Alexandria via LeMat-Bulk: crystalline SiNiPb at its relaxed geometry (PBEsol).

Cell and atoms, written as POSCAR:
```
SiNiPb
1.0
3.057 0.000 0.000
0.000 3.057 0.000
0.000 0.000 11.347
Si Ni Pb
2 2 2
direct
0.000 0.000 0.000
0.500 0.500 0.500
0.000 0.000 0.420
0.500 0.500 0.920
0.000 0.000 0.724
0.500 0.500 0.224
```

Calculated values
Density of states at the Fermi level   3.03 states/eV per cell
Electronic total energy   -5.2071 eV/atom
ΔE_f (raw)   0.094 eV per atom

---

Record 13
Entry from Alexandria via LeMat-Bulk: crystalline BeOs3Se at its relaxed geometry (PBEsol).

Cell and atoms, written as POSCAR:
```
BeOs3Se
1.0
4.453 0.000 0.000
0.000 4.453 0.000
0.000 0.000 4.453
Be Os Se
1 3 1
direct
0.000 0.000 0.000
0.000 0.500 0.500
0.500 0.000 0.500
0.500 0.500 0.000
0.500 0.500 0.500
```

Calculated values
Density of states at the Fermi level   5.66 states/eV per cell
Electronic total energy   -6.8409 eV/atom
ΔE_f (raw)   2.059 eV per atom

---

Record 14
Entry from Alexandria via LeMat-Bulk: crystalline CsP2PbC at its relaxed geometry (PBEsol).

Cell and atoms, written as POSCAR:
```
CsP2PbC
1.0
4.624 0.000 0.000
0.000 4.624 0.000
0.000 0.000 4.960
Cs P Pb C
1 2 1 1
direct
0.000 0.000 0.000
0.000 0.500 0.500
0.500 0.000 0.500
0.500 0.500 0.000
0.500 0.500 0.500
```

Calculated values
Density of states at the Fermi level   3.57 states/eV per cell
Electronic total energy   -4.0599 eV/atom

---

Record 15
Entry from Alexandria via LeMat-Bulk: crystalline CaBe2Ir at its relaxed geometry (PBEsol).

Cell and atoms, written as POSCAR:
```
CaBe2Ir
1.0
3.896 0.000 0.000
-1.948 3.374 0.000
0.000 0.000 14.641
Ca Be Ir
3 6 3
direct
0.000 0.000 0.000
0.333 0.667 0.667
0.667 0.333 0.333
0.000 0.000 0.188
0.000 0.000 0.812
0.333 0.667 0.479
0.333 0.667 0.855
0.667 0.333 0.145
0.667 0.333 0.521
0.000 0.000 0.500
0.333 0.667 0.167
0.667 0.333 0.833
```

Calculated values
Density of states at the Fermi level   6.82 states/eV per cell
Electronic total energy   -5.3158 eV/atom
Relative energy among the computed polymorphs   0.000 eV/atom

---

Record 16
Entry from Alexandria via LeMat-Bulk: crystalline TbBi3 at its relaxed geometry (PBEsol).

Cell and atoms, written as POSCAR:
```
TbBi3
1.0
4.603 0.000 0.000
0.000 4.603 0.000
0.000 0.000 10.927
Tb Bi
2 6
direct
0.000 0.000 0.000
0.500 0.500 0.500
0.000 0.000 0.500
0.000 0.500 0.250
0.000 0.500 0.750
0.500 0.000 0.250
0.500 0.000 0.750
0.500 0.500 0.000
```

Calculated values
Density of states at the Fermi level   4.89 states/eV per cell
Electronic total energy   -4.8800 eV/atom

---

Record 17
Entry from Alexandria via LeMat-Bulk: crystalline Ta2MoSe at its relaxed geometry (PBEsol).

Cell and atoms, written as POSCAR:
```
Ta2MoSe
1.0
5.737 0.000 0.000
0.000 7.240 0.000
0.000 0.000 3.179
Ta Mo Se
4 2 2
direct
0.250 0.250 0.000
0.250 0.750 0.000
0.750 0.250 0.000
0.750 0.750 0.000
0.000 0.000 0.500
0.500 0.500 0.500
0.000 0.500 0.500
0.500 0.000 0.500
```

Calculated values
Density of states at the Fermi level   5.29 states/eV per cell
Electronic total energy   -10.1353 eV/atom
ΔE_f (raw)   0.045 eV per atom

---

Record 18
Entry from Alexandria via LeMat-Bulk: crystalline Cu5Ag4 at its relaxed geometry (PBEsol).

Cell and atoms, written as POSCAR:
```
Cu5Ag4
1.0
-4.024 4.024 1.905
4.024 -4.024 1.905
4.024 4.024 -1.905
Cu Ag
5 4
direct
0.000 0.000 0.000
0.340 0.340 0.680
0.340 0.660 0.000
0.660 0.340 0.000
0.660 0.660 0.320
0.000 0.321 0.321
0.000 0.679 0.679
0.321 0.000 0.321
0.679 0.000 0.679
```

Calculated values
Density of states at the Fermi level   2.88 states/eV per cell
Electronic total energy   -3.7893 eV/atom

---

Record 19
Entry from Alexandria via LeMat-Bulk: crystalline Si2MoP at its relaxed geometry (PBEsol).

Cell and atoms, written as POSCAR:
```
Si2MoP
1.0
8.461 0.000 0.000
0.000 3.034 0.000
-0.305 0.000 4.281
Si Mo P
4 2 2
direct
0.000 0.000 0.000
0.242 0.000 0.760
0.500 0.500 0.000
0.742 0.500 0.760
0.499 0.000 0.500
0.999 0.500 0.500
0.275 0.500 0.293
0.775 0.000 0.293
```

Calculated values
Density of states at the Fermi level   3.74 states/eV per cell
Electronic total energy   -7.3425 eV/atom
ΔE_f (raw)   -0.079 eV per atom

---

Record 20
Entry from Alexandria via LeMat-Bulk: crystalline LiSc2Tl at its relaxed geometry (PBEsol).

Cell and atoms, written as POSCAR:
```
LiSc2Tl
1.0
4.309 0.000 0.000
0.000 4.309 0.000
0.000 0.000 9.032
Li Sc Tl
2 4 2
direct
0.000 0.000 0.000
0.500 0.500 0.500
0.000 0.000 0.500
0.000 0.500 0.250
0.500 0.000 0.750
0.500 0.500 0.000
0.000 0.500 0.750
0.500 0.000 0.250
```

Calculated values
Density of states at the Fermi level   6.11 states/eV per cell
Electronic total energy   -4.5582 eV/atom